No. 1
Entry from Alexandria via LeMat-Bulk: a relaxed NbVSN2 crystal (GGA-PBE).

Results
For the uncorrected formation energy, the calculation gives 0.4929 eV per atom. For the energy above the most stable polymorph in this dataset, the calculation gives 0.2729 eV/atom.

abc: 3.976 3.976 5.018
angles: 90.00 90.00 90.00
Space group P4/mmm (No. 123)
Inequivalent atoms, fractional coordinates:
Nb (0.000, 0.000, 0.000)
V (0.500, 0.500, 0.500)
S (0.000, 0.000, 0.500)
N (0.000, 0.500, 0.000)

No. 2
Entry from Alexandria via LeMat-Bulk: a relaxed BeSbOs2 crystal (GGA-PBE).

Results
For the uncorrected formation energy, the calculation gives 0.8272 eV per atom. For the energy above the most stable polymorph in this dataset, the calculation gives 0.5147 eV/atom.

abc: 2.904 4.977 8.964
angles: 90.00 90.00 90.00
Space group Cmm2 (No. 35)
Inequivalent atoms, fractional coordinates:
Be (0.000, 0.000, 0.000)
Sb (0.000, 0.500, 0.714)
Os (0.000, 0.000, 0.440)
Os (0.000, 0.500, 0.197)

No. 3
Entry from Alexandria via LeMat-Bulk: a relaxed Li3Cu3Pd crystal (GGA-PBE).

Results
The formation energy from the elements is -1.16 eV/f.u.

abc: 7.0235 7.0235 4.2873
angles: 90.00 90.00 120.00
Space group P6_3/m (No. 176)
Inequivalent atoms, fractional coordinates:
Li (0.0913, 0.6250, 0.2500)
Cu (0.0516, 0.8226, 0.7500)
Pd (0.3333, 0.6667, 0.7500)

No. 4
Entry from Alexandria via LeMat-Bulk: a relaxed BeAl2Ga2Ni5 crystal (GGA-PBE).

Results
The formation energy from the elements is -2.80 eV/f.u.

abc: 9.731 9.731 2.659
angles: 90.00 90.00 90.00
Space group P4/mbm (No. 127)
Inequivalent atoms, fractional coordinates:
Be (0.000, 0.000, 0.000)
Al (0.151, 0.349, 0.000)
Ga (0.148, 0.648, 0.000)
Ni (0.000, 0.500, 0.500)
Ni (0.134, 0.862, 0.500)

No. 5
Entry from Alexandria via LeMat-Bulk: a relaxed AcGaNi2N crystal (GGA-PBE).

Results
For the uncorrected formation energy, the calculation gives -0.5449 eV per atom.

abc: 3.897 11.434 7.132
angles: 90.00 90.00 90.00
Space group Cmcm (No. 63)
Inequivalent atoms, fractional coordinates:
Ac (0.000, 0.047, 0.250)
Ga (0.000, 0.227, 0.750)
Ni (0.000, 0.337, 0.057)
N (0.000, 0.500, 0.000)

No. 6
Entry from Alexandria via LeMat-Bulk: a relaxed Cs2RbTlF crystal (GGA-PBE).

Results
For the uncorrected formation energy, the calculation gives -1.0056 eV per atom. For the energy above the most stable polymorph in this dataset, the calculation gives 0.0000 eV/atom.

abc: 6.151 6.151 5.903
angles: 90.00 90.00 90.00
Space group P4/mmm (No. 123)
Inequivalent atoms, fractional coordinates:
Cs (0.000, 0.500, 0.000)
Rb (0.000, 0.000, 0.500)
Tl (0.500, 0.500, 0.500)
F (0.000, 0.000, 0.000)

Number 1: mass density 4.27 g/cm³. Number 2: mass density 13.10 g/cm³. Number 3: mass density 5.76 g/cm³. Number 4: mass density 6.54 g/cm³. Number 5: mass density 8.95 g/cm³. Number 6: mass density 4.27 g/cm³.